Entry 1:
Entry from the Alexandria database: a relaxed Sc2BeMo crystal (PBE).

```
Sc2BeMo
1.0
-3.1687 -3.9051 1.5468
-0.8718 -3.7126 3.6249
-3.1051 1.6258 3.2813
Sc Be Mo
2 1 1
direct
0.7804 0.7804 0.6872
0.9840 0.9840 0.0429
0.5258 0.5258 0.5226
0.2098 0.2098 0.2473
```

Values from the calculation:
* DFT formation energy: 107 meV per atom
* magnetization: 0.000 μB per formula unit



Entry 2:
Entry from the Alexandria database: a relaxed Np2NiRu crystal (PBE).

```
Np2NiRu
1.0
-3.0787 -0.2437 -0.4824
0.8451 -2.1364 -4.3148
0.0067 -4.3802 2.1701
Ni Ru Np
1 1 2
direct
0.5000 0.0000 0.0000
0.5000 0.5000 0.5000
0.0000 0.0000 0.5000
0.0000 0.5000 0.0000
```

Values from the calculation:
* DFT formation energy: 114 meV per atom
* magnetization: 7.282 μB per formula unit



Entry 3:
Entry from the Alexandria database: a relaxed Sr2In2Bi crystal (PBE).

```
Sr2In2Bi
1.0
-1.5150 2.9967 -7.4845
5.0880 -5.5520 -3.2528
-3.8845 -3.2566 -0.5176
Sr In Bi
4 4 2
direct
0.1731 0.6731 0.5000
0.8269 0.3269 0.5000
0.3269 0.1731 0.5000
0.6731 0.8269 0.5000
0.3731 0.8731 0.0000
0.1269 0.3731 0.0000
0.8731 0.6269 0.0000
0.6269 0.1269 0.0000
0.0000 0.0000 0.0000
0.5000 0.5000 0.0000
```

Values from the calculation:
* DFT formation energy: -465 meV per atom
* magnetization: 0.000 μB per formula unit
* energy above the lowest structure with this stoichiometry: 0.000 eV per atom



Entry 4:
Entry from the Alexandria database: a relaxed BaSi2NiIr crystal (PBE).

```
BaSi2NiIr
1.0
4.0235 0.0000 0.0000
0.0000 4.0235 0.0000
-2.0117 -2.0117 6.3089
Si Ni Ba Ir
2 1 1 1
direct
0.3463 0.3463 0.6925
0.6537 0.6537 0.3075
0.2500 0.7500 0.5000
0.0000 0.0000 0.0000
0.7500 0.2500 0.5000
```

Values from the calculation:
* magnetization: 0.000 μB per formula unit
* total energy: -30.489 eV per cell



Entry 5:
Entry from the Alexandria database: a relaxed Pm2SmEr crystal (PBE).

```
Pm2SmEr
1.0
-0.9288 3.3772 0.8768
-3.0776 1.4098 -1.2559
-7.0318 -2.4235 9.3205
Pm Er Sm
2 1 1
direct
0.2512 0.2512 0.2465
0.7488 0.7488 0.7535
0.0000 0.0000 0.0000
0.5000 0.5000 0.5000
```

Values from the calculation:
* DFT formation energy: 15 meV per atom
* magnetization: 0.000 μB per formula unit
* energy above the lowest structure with this stoichiometry: 0.000 eV per atom



Entry 6:
Entry from the Alexandria database: a relaxed Er3Rh4Pb crystal (PBE).

```
Er3Rh4Pb
1.0
-1.8503 4.1020 1.5743
-3.1836 2.3536 -2.6558
-7.4747 -1.7893 3.0955
Rh Er Pb
4 3 1
direct
0.1261 0.1261 0.6217
0.3785 0.3785 0.8646
0.8739 0.8739 0.3783
0.6215 0.6215 0.1354
0.2535 0.2535 0.2395
0.5000 0.5000 0.5000
0.7465 0.7465 0.7605
0.0000 0.0000 0.0000
```

Values from the calculation:
* DFT formation energy: -756 meV per atom
* magnetization: 0.000 μB per formula unit



Entry 7:
Entry from the Alexandria database: a relaxed TmThGaAu crystal (PBE).

```
TmThGaAu
1.0
-2.5875 2.2725 -2.0747
2.0043 -1.1691 -3.7802
-2.1512 -5.4955 0.5590
Au Tm Th Ga
1 1 1 1
direct
0.5832 0.5000 0.1663
0.1375 0.0000 0.2749
0.8567 0.5000 0.7133
0.4227 0.0000 0.8454
```

Values from the calculation:
* DFT formation energy: -630 meV per atom
* magnetization: 0.000 μB per formula unit
* energy above the lowest structure with this stoichiometry: 0.000 eV per atom



Entry 8:
Entry from the Alexandria database: a relaxed LaZn2Se crystal (PBE).

```
LaZn2Se
1.0
-2.7431 4.1393 -4.7102
-4.0763 -0.0534 -5.4978
-6.0211 2.3395 -2.2624
Zn Se La
2 1 1
direct
0.9482 0.9482 0.9482
0.2811 0.2811 0.2811
0.7644 0.7644 0.7644
0.5062 0.5062 0.5062
```

Values from the calculation:
* magnetization: 0.000 μB per formula unit
* total energy: -13.430 eV per cell



magnetization of number 7 (TmThGaAu)? 0.000 μB per formula unit